Record 1
Below is crystalline AlCu2Te at its relaxed geometry, with properties calculated at the PBE-GGA level.

Unit cell a=3.725 b=3.794 c=5.166 alpha=90.00 beta=107.38 gamma=90.00
Space group Pm (No. 6)
Symmetry-distinct sites (fractional):
Al  0.000  0.000  0.000 [1 per cell]
Cu  0.544  0.500  0.098 [1 per cell]
Cu  0.748  0.000  0.435 [1 per cell]
Te  0.309  0.500  0.570 [1 per cell]

Computed properties:
The calculation puts the formation energy (no corrections) at 0.31 eV per formula unit. Its excess energy over the best structure of this formula in the dataset is 0.0249 eV per atom.

=====

Record 2
Below is crystalline TePtS2 at its relaxed geometry, with properties calculated at the PBE-GGA level.

Unit cell a=4.1672 b=4.1672 c=21.3782 alpha=90.00 beta=90.00 gamma=120.00
Space group R-3m (No. 166, hexagonal axes)
Symmetry-distinct sites (fractional):
Te  0.0000  0.0000  0.0000 [3 per cell]
Pt  0.0000  0.0000  0.5000 [3 per cell]
S  0.0000  0.0000  0.3975 [6 per cell]

Computed properties:
The calculation puts the formation energy (no corrections) at 1.30 eV per formula unit.

=====

Record 3
Below is crystalline V3NiSe6 at its relaxed geometry, with properties calculated at the PBE-GGA level.

Unit cell a=10.154 b=12.244 c=6.067 alpha=90.00 beta=90.00 gamma=90.00
Space group Cmc2_1 (No. 36)
Symmetry-distinct sites (fractional):
V  0.000  0.107  0.000 [4 per cell]
V  0.174  0.399  0.095 [8 per cell]
Ni  0.000  0.275  0.657 [4 per cell]
Se  0.000  0.275  0.270 [4 per cell]
Se  0.000  0.461  0.758 [4 per cell]
Se  0.162  0.028  0.298 [8 per cell]
Se  0.182  0.221  0.849 [8 per cell]

Computed properties:
The calculation puts the formation energy (no corrections) at -4.39 eV per formula unit.

=====

Record 4
Below is crystalline Ti4CdHg at its relaxed geometry, with properties calculated at the PBE-GGA level.

Unit cell a=4.084 b=13.286 c=4.060 alpha=90.00 beta=90.00 gamma=90.00
Space group Cmmm (No. 65)
Symmetry-distinct sites (fractional):
Ti  0.000  0.176  0.000 [4 per cell]
Ti  0.000  0.323  0.500 [4 per cell]
Cd  0.000  0.000  0.500 [2 per cell]
Hg  0.000  0.500  0.000 [2 per cell]

Computed properties:
The formation energy comes out at -0.079 eV/atom.

=====

Record 5
Below is crystalline CsAgHg2Cl6 at its relaxed geometry, with properties calculated at the PBE-GGA level.

Unit cell a=15.348 b=12.880 c=7.788 alpha=90.00 beta=116.35 gamma=90.00
Space group C2/c (No. 15)
Symmetry-distinct sites (fractional):
Cs  0.000  0.195  0.250 [4 per cell]
Ag  0.000  0.298  0.750 [4 per cell]
Hg  0.246  0.088  0.944 [8 per cell]
Cl  0.114  0.413  0.112 [8 per cell]
Cl  0.124  0.034  0.035 [8 per cell]
Cl  0.152  0.267  0.726 [8 per cell]

Computed properties:
The calculation puts the formation energy (no corrections) at -8.68 eV per formula unit.

=====

Going through the records in order, we get Fermi-level density of states values of 0.19; 0.84; 0.65; 0.63; 0.00 states/eV/atom.